*1*
Crystalline Ac3Ga4Au4 at its relaxed geometry, computed with GGA-PBE.

Cell lengths 4.529, 4.401, 14.036 Å; angles 99.02, 99.29, 90.00 degrees
Element x y z (fractional)
Au1 0.805 0.305 0.610
Au2 0.195 0.695 0.390
Au3 0.448 0.448 0.895
Au4 0.552 0.552 0.105
Ga1 0.100 0.600 0.199
Ga2 0.250 0.250 0.501
Ga3 0.750 0.750 0.499
Ga4 0.900 0.400 0.801
Ac1 0.650 0.150 0.301
Ac2 0.350 0.850 0.699
Ac3 0.000 0.000 0.000

Calculated values
M_tot (μB per cell): 0.0
Crystal system: orthorhombic
Calculated density (g cm⁻³): 10.65
Density of states at the Fermi level (states/eV per atom): 0.592



*2*
Crystalline Ac3Ga4Au4 at its relaxed geometry, computed with GGA-PBE.

Cell lengths 4.630, 4.479, 13.524 Å; angles 99.53, 99.86, 90.00 degrees
Element x y z (fractional)
Au1 0.250 0.250 0.500
Au2 0.902 0.402 0.805
Au3 0.098 0.598 0.195
Au4 0.750 0.750 0.500
Ac1 0.000 0.000 0.000
Ac2 0.351 0.851 0.701
Ac3 0.649 0.149 0.299
Ga1 0.197 0.697 0.395
Ga2 0.548 0.548 0.097
Ga3 0.803 0.303 0.605
Ga4 0.452 0.452 0.903

Calculated values
M_tot (μB per cell): 0.0
Crystal system: orthorhombic
Calculated density (g cm⁻³): 10.65
Density of states at the Fermi level (states/eV per atom): 0.676



Quick one: least stable of them? *2*



*1*
Crystalline AcGa2Au at its relaxed geometry, computed with GGA-PBE.

Cell lengths 4.894, 5.956, 6.906 Å; angles 90.00, 90.00, 114.25 degrees
Element x y z (fractional)
Ga1 0.618 0.235 0.057
Ga2 0.382 0.765 0.557
Ga3 0.382 0.765 0.943
Ga4 0.618 0.235 0.443
Ac1 0.898 0.797 0.250
Ac2 0.102 0.203 0.750
Au1 0.802 0.603 0.750
Au2 0.198 0.397 0.250

Calculated values
M_tot (μB per cell): 0.0
Crystal system: orthorhombic
Calculated density (g cm⁻³): 10.20
Density of states at the Fermi level (states/eV per atom): 0.288



*2*
Crystalline AcGa2Au at its relaxed geometry, computed with GGA-PBE.

Cell lengths 4.821, 4.518, 4.518 Å; angles 90.00, 90.00, 90.00 degrees
Element x y z (fractional)
Ac1 0.500 0.000 0.000
Au1 0.500 0.500 0.500
Ga1 0.000 0.000 0.500
Ga2 0.000 0.500 0.000

Calculated values
M_tot (μB per cell): 0.0
Crystal system: tetragonal
Calculated density (g cm⁻³): 9.51
Density of states at the Fermi level (states/eV per atom): 0.512



Quick one: least stable of them? *2*



*1*
Crystalline AcGa2Au at its relaxed geometry, computed with GGA-PBE.

Cell lengths 4.448, 7.573, 11.385 Å; angles 90.00, 90.00, 90.00 degrees
Element x y z (fractional)
Ga1 0.750 0.178 0.063
Ga2 0.250 0.322 0.563
Ga3 0.750 0.678 0.437
Ga4 0.250 0.996 0.136
Ga5 0.750 0.504 0.636
Ga6 0.250 0.822 0.937
Ga7 0.750 0.004 0.864
Ga8 0.250 0.496 0.364
Au1 0.250 0.347 0.156
Au2 0.750 0.153 0.656
Au3 0.250 0.847 0.344
Au4 0.750 0.653 0.844
Ac1 0.750 0.663 0.138
Ac2 0.250 0.837 0.638
Ac3 0.750 0.163 0.362
Ac4 0.250 0.337 0.862

Calculated values
M_tot (μB per cell): 0.0
Crystal system: orthorhombic
Calculated density (g cm⁻³): 9.76
Density of states at the Fermi level (states/eV per atom): 0.604



*2*
Crystalline AcGa2Au at its relaxed geometry, computed with GGA-PBE.

Cell lengths 5.093, 5.093, 5.093 Å; angles 60.00, 60.00, 60.00 degrees
Element x y z (fractional)
Ac1 0.000 0.000 0.000
Ga1 0.750 0.750 0.750
Ga2 0.250 0.250 0.250
Au1 0.500 0.500 0.500

Calculated values
M_tot (μB per cell): 0.0
Crystal system: cubic
Calculated density (g cm⁻³): 10.02
Density of states at the Fermi level (states/eV per atom): 0.420



Quick one: least stable of them? *2*



*1*
Crystalline LiAcGaAu at its relaxed geometry, computed with GGA-PBE.

Cell lengths 4.571, 4.567, 5.955 Å; angles 112.66, 90.00, 120.03 degrees
Element x y z (fractional)
Au1 0.419 0.837 0.898
Li1 0.108 0.216 0.967
Ga1 0.821 0.643 0.107
Ac1 0.618 0.236 0.496

Calculated values
M_tot (μB per cell): 0.0
Crystal system: monoclinic
Calculated density (g cm⁻³): 8.63
Density of states at the Fermi level (states/eV per atom): 0.587



*2*
Crystalline LiAcGaAu at its relaxed geometry, computed with GGA-PBE.

Cell lengths 5.192, 5.192, 5.192 Å; angles 60.00, 60.00, 60.00 degrees
Element x y z (fractional)
Ga1 0.250 0.250 0.250
Ac1 0.500 0.500 0.500
Au1 0.750 0.750 0.750
Li1 0.000 0.000 0.000

Calculated values
M_tot (μB per cell): 0.0
Crystal system: cubic
Calculated density (g cm⁻³): 8.40
Density of states at the Fermi level (states/eV per atom): 0.709



Quick one: least stable of them? *2*



*1*
Crystalline AcGd2Au at its relaxed geometry, computed with GGA-PBE.

Cell lengths 4.929, 4.929, 6.966 Å; angles 69.28, 69.28, 60.00 degrees
Element x y z (fractional)
Au1 0.000 0.000 0.000
Gd1 0.283 0.283 0.152
Gd2 0.717 0.717 0.848
Ac1 0.500 0.500 0.500

Calculated values
M_tot (μB per cell): 15.2
Crystal system: trigonal
Calculated density (g cm⁻³): 9.17
Density of states at the Fermi level (states/eV per atom): 1.439



*2*
Crystalline AcGd2Au at its relaxed geometry, computed with GGA-PBE.

Cell lengths 5.256, 4.781, 4.781 Å; angles 90.00, 90.00, 90.00 degrees
Element x y z (fractional)
Gd1 0.000 0.500 0.000
Gd2 0.000 0.000 0.500
Au1 0.500 0.000 0.000
Ac1 0.500 0.500 0.500

Calculated values
M_tot (μB per cell): 15.8
Crystal system: tetragonal
Calculated density (g cm⁻³): 10.21
Density of states at the Fermi level (states/eV per atom): 1.406



Quick one: least stable of them? *1*



*1*
Crystalline AcGd2Au at its relaxed geometry, computed with GGA-PBE.

Cell lengths 3.729, 3.729, 8.847 Å; angles 90.00, 90.00, 90.00 degrees
Element x y z (fractional)
Au1 0.500 0.500 0.000
Ac1 0.500 0.500 0.500
Gd1 0.000 0.000 0.194
Gd2 0.000 0.000 0.806

Calculated values
M_tot (μB per cell): 14.9
Crystal system: tetragonal
Calculated density (g cm⁻³): 9.97
Density of states at the Fermi level (states/eV per atom): 1.256



*2*
Crystalline AcGd2Au at its relaxed geometry, computed with GGA-PBE.

Cell lengths 5.470, 5.470, 5.470 Å; angles 60.00, 60.00, 60.00 degrees
Element x y z (fractional)
Au1 0.500 0.500 0.500
Gd1 0.250 0.250 0.250
Gd2 0.750 0.750 0.750
Ac1 0.000 0.000 0.000

Calculated values
M_tot (μB per cell): 16.5
Crystal system: cubic
Calculated density (g cm⁻³): 10.60
Density of states at the Fermi level (states/eV per atom): 1.051



Quick one: least stable of them? *2*



*1*
Crystalline AcGdAu at its relaxed geometry, computed with GGA-PBE.

Cell lengths 3.801, 3.801, 6.962 Å; angles 105.84, 105.84, 90.00 degrees
Element x y z (fractional)
Au1 0.683 0.683 0.367
Ac1 0.016 0.016 0.032
Gd1 0.301 0.301 0.602

Calculated values
M_tot (μB per cell): 7.8
Crystal system: tetragonal
Calculated density (g cm⁻³): 10.40
Density of states at the Fermi level (states/eV per atom): 1.352



*2*
Crystalline AcGdAu at its relaxed geometry, computed with GGA-PBE.

Cell lengths 5.248, 5.248, 5.248 Å; angles 60.00, 60.00, 60.00 degrees
Element x y z (fractional)
Ac1 0.000 0.000 0.000
Au1 0.250 0.250 0.250
Gd1 0.500 0.500 0.500

Calculated values
M_tot (μB per cell): 7.6
Crystal system: cubic
Calculated density (g cm⁻³): 9.44
Density of states at the Fermi level (states/eV per atom): 1.992



*3*
Crystalline AcGdAu at its relaxed geometry, computed with GGA-PBE.

Cell lengths 4.441, 5.001, 5.001 Å; angles 120.00, 90.00, 90.00 degrees
Element x y z (fractional)
Au1 0.496 0.333 0.667
Gd1 0.502 0.667 0.333
Ac1 0.002 0.000 0.000

Calculated values
M_tot (μB per cell): 7.6
Crystal system: trigonal
Calculated density (g cm⁻³): 10.03
Density of states at the Fermi level (states/eV per atom): 1.113



Quick one: least stable of them? *2*



*1*
Crystalline Ac2GdAu at its relaxed geometry, computed with GGA-PBE.

Cell lengths 3.902, 3.902, 9.102 Å; angles 90.00, 90.00, 90.00 degrees
Element x y z (fractional)
Au1 0.500 0.500 0.000
Gd1 0.500 0.500 0.500
Ac1 0.000 0.000 0.211
Ac2 0.000 0.000 0.789

Calculated values
M_tot (μB per cell): 8.0
Crystal system: tetragonal
Calculated density (g cm⁻³): 9.69
Density of states at the Fermi level (states/eV per atom): 1.330



*2*
Crystalline Ac2GdAu at its relaxed geometry, computed with GGA-PBE.

Cell lengths 3.919, 3.919, 11.752 Å; angles 80.40, 80.40, 60.00 degrees
Element x y z (fractional)
Gd1 0.000 0.000 0.000
Au1 0.500 0.500 0.500
Ac1 0.102 0.102 0.693
Ac2 0.898 0.898 0.307

Calculated values
M_tot (μB per cell): 8.1
Crystal system: trigonal
Calculated density (g cm⁻³): 8.75
Density of states at the Fermi level (states/eV per atom): 2.414



Quick one: least stable of them? *2*



*1*
Crystalline AcGdAu2 at its relaxed geometry, computed with GGA-PBE.

Cell lengths 5.114, 5.114, 5.726 Å; angles 63.48, 63.48, 60.00 degrees
Element x y z (fractional)
Au1 0.777 0.777 0.670
Au2 0.223 0.223 0.330
Ac1 0.000 0.000 0.000
Gd1 0.500 0.500 0.500

Calculated values
M_tot (μB per cell): 7.1
Crystal system: trigonal
Calculated density (g cm⁻³): 11.63
Density of states at the Fermi level (states/eV per atom): 0.883



*2*
Crystalline AcGdAu2 at its relaxed geometry, computed with GGA-PBE.

Cell lengths 3.758, 3.758, 7.564 Å; angles 90.00, 90.00, 90.00 degrees
Element x y z (fractional)
Ac1 0.500 0.500 0.500
Au1 0.000 0.000 0.218
Au2 0.000 0.000 0.782
Gd1 0.500 0.500 0.000

Calculated values
M_tot (μB per cell): 7.1
Crystal system: tetragonal
Calculated density (g cm⁻³): 12.10
Density of states at the Fermi level (states/eV per atom): 0.650



Quick one: least stable of them? *1*



*1*
Crystalline AcGeAu at its relaxed geometry, computed with GGA-PBE.

Cell lengths 4.549, 6.321, 6.321 Å; angles 78.47, 68.91, 68.91 degrees
Element x y z (fractional)
Au1 0.000 0.177 0.823
Au2 0.000 0.823 0.177
Ge1 0.500 0.660 0.340
Ge2 0.500 0.340 0.660
Ac1 0.740 0.760 0.760
Ac2 0.260 0.240 0.240

Calculated values
M_tot (μB per cell): 0.0
Crystal system: orthorhombic
Calculated density (g cm⁻³): 10.46
Density of states at the Fermi level (states/eV per atom): 0.200



*2*
Crystalline AcGeAu at its relaxed geometry, computed with GGA-PBE.

Cell lengths 4.605, 4.605, 8.556 Å; angles 90.00, 90.00, 120.00 degrees
Element x y z (fractional)
Au1 0.333 0.167 0.750
Au2 0.667 0.833 0.250
Ac1 0.000 0.500 0.000
Ac2 0.000 0.500 0.500
Ge1 0.333 0.167 0.250
Ge2 0.667 0.833 0.750

Calculated values
M_tot (μB per cell): 0.0
Crystal system: hexagonal
Calculated density (g cm⁻³): 10.50
Density of states at the Fermi level (states/eV per atom): 0.162



*3*
Crystalline AcGeAu at its relaxed geometry, computed with GGA-PBE.

Cell lengths 6.836, 8.056, 7.592 Å; angles 90.00, 129.66, 90.00 degrees
Element x y z (fractional)
Ge1 0.696 0.236 0.274
Ge2 0.804 0.736 0.726
Ge3 0.304 0.764 0.726
Ge4 0.196 0.264 0.274
Au1 0.565 0.526 0.358
Au2 0.935 0.026 0.642
Au3 0.065 0.974 0.358
Au4 0.435 0.474 0.642
Ac1 0.872 0.601 0.178
Ac2 0.128 0.399 0.822
Ac3 0.372 0.899 0.178
Ac4 0.628 0.101 0.822

Calculated values
M_tot (μB per cell): 0.0
Crystal system: monoclinic
Calculated density (g cm⁻³): 10.25
Density of states at the Fermi level (states/eV per atom): 0.486



Quick one: least stable of them? *3*



*1*
Crystalline Ac2Ge3Au2 at its relaxed geometry, computed with GGA-PBE.

Cell lengths 4.637, 5.903, 7.107 Å; angles 104.92, 90.00, 113.13 degrees
Element x y z (fractional)
Ge1 0.402 0.804 0.567
Ge2 0.598 0.196 0.433
Ge3 0.500 0.000 0.000
Ac1 0.146 0.291 0.784
Ac2 0.854 0.709 0.216
Au1 0.841 0.682 0.722
Au2 0.159 0.318 0.278

Calculated values
M_tot (μB per cell): 0.0
Crystal system: monoclinic
Calculated density (g cm⁻³): 10.31
Density of states at the Fermi level (states/eV per atom): 0.666



*2*
Crystalline Ac2Ge3Au2 at its relaxed geometry, computed with GGA-PBE.

Cell lengths 4.732, 7.309, 10.163 Å; angles 90.00, 103.46, 90.00 degrees
Element x y z (fractional)
Ge1 0.558 0.073 0.117
Ge2 0.442 0.573 0.883
Ge3 0.778 0.250 0.555
Ge4 0.442 0.927 0.883
Ge5 0.558 0.427 0.117
Ge6 0.222 0.750 0.445
Ac1 0.947 0.250 0.894
Ac2 0.159 0.250 0.319
Ac3 0.053 0.750 0.106
Ac4 0.841 0.750 0.681
Au1 0.685 0.944 0.369
Au2 0.685 0.556 0.369
Au3 0.315 0.056 0.631
Au4 0.315 0.444 0.631

Calculated values
M_tot (μB per cell): 0.0
Crystal system: orthorhombic
Calculated density (g cm⁻³): 10.36
Density of states at the Fermi level (states/eV per atom): 0.286



Quick one: least stable of them? *1*



*1*
Crystalline Ac2Ge2Au at its relaxed geometry, computed with GGA-PBE.

Cell lengths 4.607, 6.307, 10.592 Å; angles 83.32, 77.44, 68.58 degrees
Element x y z (fractional)
Ac1 0.289 0.774 0.648
Ac2 0.098 0.706 0.098
Ac3 0.711 0.226 0.352
Ac4 0.902 0.294 0.902
Ge1 0.621 0.868 0.891
Ge2 0.020 0.363 0.597
Ge3 0.980 0.637 0.403
Ge4 0.379 0.132 0.109
Au1 0.569 0.181 0.681
Au2 0.431 0.819 0.319

Calculated values
M_tot (μB per cell): 0.0
Crystal system: monoclinic
Calculated density (g cm⁻³): 9.46
Density of states at the Fermi level (states/eV per atom): 0.728



*2*
Crystalline Ac2Ge2Au at its relaxed geometry, computed with GGA-PBE.

Cell lengths 4.209, 4.509, 7.589 Å; angles 107.28, 90.00, 90.00 degrees
Element x y z (fractional)
Ac1 0.000 0.930 0.861
Ac2 0.000 0.686 0.373
Ge1 0.500 0.506 0.013
Ge2 0.500 0.311 0.621
Au1 0.500 0.109 0.217

Calculated values
M_tot (μB per cell): 0.0
Crystal system: orthorhombic
Calculated density (g cm⁻³): 9.61
Density of states at the Fermi level (states/eV per atom): 0.747



Quick one: least stable of them? *2*